First-principles (PBE-GGA) data for TmTlAgHg after structural relaxation, as listed in the Alexandria database.

POSCAR file:
```
TmTlAgHg
1.0
7.146 0.000 0.000
0.000 7.146 0.000
0.000 0.000 7.146
Tm Tl Ag Hg
4 4 4 4
Cartesian
0.000 0.000 0.000
0.000 3.573 3.573
3.573 0.000 3.573
3.573 3.573 0.000
1.786 1.786 5.359
1.786 5.359 1.786
5.359 1.786 1.786
5.359 5.359 5.359
0.000 0.000 3.573
0.000 3.573 0.000
3.573 0.000 0.000
3.573 3.573 3.573
1.786 1.786 1.786
1.786 5.359 5.359
5.359 1.786 5.359
5.359 5.359 1.786
```

## Properties
**Space-group type**: F-43m (216)
**Size of the total moment**: 0.00 μB per formula unit
**Mass density**: 12.4 Mg/m³
**Energy of formation from the pure elements**: -0.202 eV/atom
**V**: 365 Å³ per cell

First-principles (PBE-GGA) data for TlZnAgHg after structural relaxation, as listed in the Alexandria database.

POSCAR file:
```
TlZnAgHg
1.0
7.099 0.000 0.000
0.000 7.099 0.000
0.000 0.000 7.099
Tl Zn Ag Hg
4 4 4 4
Cartesian
0.000 0.000 0.000
0.000 3.549 3.549
3.549 0.000 3.549
3.549 3.549 0.000
1.775 1.775 1.775
1.775 5.324 5.324
5.324 1.775 5.324
5.324 5.324 1.775
1.775 1.775 5.324
1.775 5.324 1.775
5.324 1.775 1.775
5.324 5.324 5.324
0.000 0.000 3.549
0.000 3.549 0.000
3.549 0.000 0.000
3.549 3.549 3.549
```

## Properties
**Space-group type**: F-43m (216)
**Size of the total moment**: 0.00 μB per formula unit
**Mass density**: 10.7 Mg/m³
**Energy of formation from the pure elements**: 0.170 eV/atom
**V**: 358 Å³ per cell

First-principles (PBE-GGA) data for ZrTlAgHg after structural relaxation, as listed in the Alexandria database.

POSCAR file:
```
ZrTlAgHg
1.0
7.023 0.000 0.000
0.000 7.023 0.000
0.000 0.000 7.023
Zr Tl Ag Hg
4 4 4 4
Cartesian
0.000 0.000 0.000
0.000 3.511 3.511
3.511 0.000 3.511
3.511 3.511 0.000
1.756 1.756 1.756
1.756 5.267 5.267
5.267 1.756 5.267
5.267 5.267 1.756
0.000 0.000 3.511
0.000 3.511 0.000
3.511 0.000 0.000
3.511 3.511 3.511
1.756 1.756 5.267
1.756 5.267 1.756
5.267 1.756 1.756
5.267 5.267 5.267
```

## Properties
**Space-group type**: F-43m (216)
**Size of the total moment**: 0.00 μB per formula unit
**Mass density**: 11.6 Mg/m³
**Energy of formation from the pure elements**: 0.074 eV/atom
**V**: 346 Å³ per cell

Let's list total DFT energy (no corrections) in order: -2.70, -1.53, -3.44 eV per atom.